# 1
Here is a geometry-optimized Pm2TcO8 structure from Alexandria. Energies are from PBE.

The total magnetic moment comes out at 1.01 μB/cell. As for the energy relative to the elements, uncorrected: -1.949 eV/atom.

The structure belongs to space group P1 (No. 1); the cell edges are 4.5130, 6.2069 and 6.3324 Å and the angles 82.30°, 74.99° and 81.09°. Symmetry generates all atoms from Pm at (0.0000, 0.0000, 0.0000), Pm at (0.3247, 0.4183, 0.2262), Tc at (0.7248, 0.6740, 0.6165), O at (0.4380, 0.6582, 0.8774), O at (0.4580, 0.1063, 0.0403), O at (0.4622, 0.6750, 0.4545), O at (0.8289, 0.2462, 0.2928), O at (0.8702, 0.9085, 0.6630), O at (0.8746, 0.3874, 0.0874), O at (0.9759, 0.4293, 0.6298) and O at (0.9854, 0.7426, 0.2841).

# 2
Here is a geometry-optimized ScZnAg2 structure from Alexandria. Energies are from PBE.

The total magnetic moment comes out at 0.00 μB/cell. For the formation energy, the calculation gives -130.5 meV per atom.

The structure belongs to space group P4/mmm (No. 123); the cell edges are 4.2567, 4.2567 and 4.0839 Å and the angles 90.00°, 90.00° and 90.00°. Symmetry generates all atoms from Sc at (0.0000, 0.0000, 0.0000), Zn at (0.5000, 0.5000, 0.0000) and Ag at (0.0000, 0.5000, 0.5000).

# 3
Here is a geometry-optimized Pr2Ho2Tl structure from Alexandria. Energies are from PBE.

The total magnetic moment comes out at 0.00 μB/cell. The value obtained for the relative energy among the computed polymorphs is 0.074 eV/atom. For the formation energy, the calculation gives -2.1 meV per atom.

The structure belongs to space group P6_3/mmc (No. 194); the cell edges are 5.5082, 5.5082 and 12.2602 Å and the angles 90.00°, 90.00° and 120.00°. Symmetry generates all atoms from Pr at (0.3333, 0.6667, 0.0866), Ho at (0.0000, 0.0000, 0.0000), Ho at (0.3333, 0.6667, 0.7500) and Tl at (0.0000, 0.0000, 0.2500).

# 4
Here is a geometry-optimized FeB2Pb2 structure from Alexandria. Energies are from PBE.

The total magnetic moment comes out at 5.72 μB/cell. The value obtained for the relative energy among the computed polymorphs is 0.129 eV/atom. For the formation energy, the calculation gives 1322.1 meV per atom.

The structure belongs to space group P4/mbm (No. 127); the cell edges are 7.5125, 7.5125 and 3.5413 Å and the angles 90.00°, 90.00° and 90.00°. Symmetry generates all atoms from Fe at (0.0000, 0.0000, 0.0000), B at (0.0751, 0.4249, 0.5000) and Pb at (0.2491, 0.2509, 0.0000).

# 5
Here is a geometry-optimized Nd3CN5 structure from Alexandria. Energies are from PBE.

The total magnetic moment comes out at 1.80 μB/cell. As for the energy relative to the elements, uncorrected: -0.655 eV/atom.

The structure belongs to space group I4/mcm (No. 140); the cell edges are 6.7155, 6.7155 and 10.3941 Å and the angles 90.00°, 90.00° and 90.00°. Symmetry generates all atoms from Nd at (0.0000, 0.0000, 0.2500), Nd at (0.1856, 0.3144, 0.0000), C at (0.0000, 0.5000, 0.2500), N at (0.0000, 0.0000, 0.0000) and N at (0.1201, 0.3799, 0.3394).

# 6
Here is a geometry-optimized Zr5Si2Sb2 structure from Alexandria. Energies are from PBE.

The total magnetic moment comes out at 0.00 μB/cell. As for the energy relative to the elements, uncorrected: -0.846 eV/atom.

The structure belongs to space group Cmce (No. 64); the cell edges are 14.3241, 7.3078 and 7.2374 Å and the angles 90.00°, 90.00° and 90.00°. Symmetry generates all atoms from Zr at (0.0000, 0.0000, 0.0000), Zr at (0.1242, 0.1665, 0.3305), Si at (0.0000, 0.1242, 0.6233) and Sb at (0.2087, 0.0000, 0.0000).

# 7
Here is a geometry-optimized SrLi15Mg4 structure from Alexandria. Energies are from PBE.

The total magnetic moment comes out at 0.00 μB/cell. For the formation energy, the calculation gives -5.2 meV per atom.

The structure belongs to space group P4/mmm (No. 123); the cell edges are 4.9769, 4.9769 and 17.8838 Å and the angles 90.00°, 90.00° and 90.00°. Symmetry generates all atoms from Sr at (0.0000, 0.0000, 0.0000), Li at (0.0000, 0.5000, 0.1322), Li at (0.0000, 0.5000, 0.3145), Li at (0.0000, 0.5000, 0.5000), Li at (0.5000, 0.5000, 0.0000), Li at (0.5000, 0.5000, 0.2173), Li at (0.5000, 0.5000, 0.4063), Mg at (0.0000, 0.0000, 0.2243) and Mg at (0.0000, 0.0000, 0.4081).

# 8
Here is a geometry-optimized Ba2Au structure from Alexandria. Energies are from PBE.

The total magnetic moment comes out at 0.00 μB/cell. For the formation energy, the calculation gives -492.1 meV per atom.

The structure belongs to space group I4/mmm (No. 139); the cell edges are 4.1123, 4.1123 and 15.0354 Å and the angles 90.00°, 90.00° and 90.00°. Symmetry generates all atoms from Ba at (0.0000, 0.0000, 0.1258) and Au at (0.0000, 0.0000, 0.5000).

# 9
Here is a geometry-optimized La2CrRu structure from Alexandria. Energies are from PBE.

The total magnetic moment comes out at 16.57 μB/cell. The value obtained for the relative energy among the computed polymorphs is 0.013 eV/atom. For the formation energy, the calculation gives 197.9 meV per atom.

The structure belongs to space group Fm-3m (No. 225); the cell edges are 7.2864, 7.2864 and 7.2864 Å and the angles 90.00°, 90.00° and 90.00°. Symmetry generates all atoms from La at (0.2500, 0.2500, 0.2500), Cr at (0.0000, 0.0000, 0.0000) and Ru at (0.0000, 0.0000, 0.5000).

# 10
Here is a geometry-optimized Sm2HoEr3Se6 structure from Alexandria. Energies are from PBE.

The total magnetic moment comes out at 0.00 μB/cell. As for the energy relative to the elements, uncorrected: -1.741 eV/atom.

The structure belongs to space group C2/m (No. 12); the cell edges are 17.8475, 4.0624 and 8.2286 Å and the angles 90.00°, 104.05° and 90.00°. Symmetry generates all atoms from Sm at (0.1684, 0.0000, 0.3361), Ho at (0.0000, 0.5000, 0.0000), Er at (0.0000, 0.5000, 0.5000), Er at (0.1694, 0.0000, 0.8333), Se at (0.0033, 0.0000, 0.7507), Se at (0.1629, 0.5000, 0.5905) and Se at (0.1657, 0.5000, 0.0742).

# 11
Here is a geometry-optimized HgBi3Mo structure from Alexandria. Energies are from PBE.

The total magnetic moment comes out at 3.68 μB/cell. The value obtained for the relative energy among the computed polymorphs is 0.900 eV/atom. For the formation energy, the calculation gives 1397.0 meV per atom.

The structure belongs to space group Pm-3m (No. 221); the cell edges are 5.6494, 5.6494 and 5.6494 Å and the angles 90.00°, 90.00° and 90.00°. Symmetry generates all atoms from Hg at (0.0000, 0.0000, 0.0000), Bi at (0.0000, 0.0000, 0.5000) and Mo at (0.5000, 0.5000, 0.5000).

# 12
Here is a geometry-optimized LiSi2W structure from Alexandria. Energies are from PBE.

The total magnetic moment comes out at 0.00 μB/cell. The value obtained for the relative energy among the computed polymorphs is 0.085 eV/atom. As for the energy relative to the elements, uncorrected: 0.026 eV/atom.

The structure belongs to space group Cmmm (No. 65); the cell edges are 3.4594, 4.3472 and 8.0775 Å and the angles 90.00°, 90.00° and 90.00°. Symmetry generates all atoms from Li at (0.0000, 0.0000, 0.0000), Si at (0.0000, 0.5000, 0.2629) and W at (0.0000, 0.0000, 0.5000).

Look up the total magnetic moment of the ninth one.
16.57 μB/cell

Which formula does entry 7 have?
SrLi15Mg4

Among the records above, which one has the highest total magnetic moment?
La2CrRu